# LiMnPO4 (PBE+U, optimized geometry)
data_LiMnPO4
_space_group_name_H-M_alt 'C 1 c 1'
_space_group_IT_number 9
_space_group_name_Hall 'C -2yc'
_cell_length_a 8.7099
_cell_length_b 5.1417
_cell_length_c 8.6201
_cell_angle_alpha 90.00
_cell_angle_beta 107.41
_cell_angle_gamma 90.00
loop_
_atom_site_label
_atom_site_type_symbol
_atom_site_fract_x
_atom_site_fract_y
_atom_site_fract_z
_atom_site_occupancy
Li1 Li 0.0000 0.1824 0.0000 1
Mn1 Mn 0.2430 0.3102 0.7442 1
P1 P 0.3711 0.1936 0.1221 1
O1 O 0.0213 0.1838 0.5882 1
O2 O 0.2195 0.2534 0.9761 1
O3 O 0.3432 0.3154 0.2769 1
O4 O 0.4005 0.1039 0.6474 1
# Electronic total energy ... -7.167 eV/atom
# Excess energy over the best structure of this formula in the dataset ... 0.015 eV per atom
# Density ... 2.8 g/cm³